(1)
Here is a relaxed structure of HfZr2NbRu from Alexandria via LeMat-Bulk. Energies are from PBE-GGA.

a = 5.1141 Å, b = 5.1141 Å, c = 4.6133 Å
α = 90.00°, β = 90.00°, γ = 90.00°
With the nearest neighbours (Å) after each atom.
Sites, in units of the cell vectors:
Hf: 0.0000 0.0000 0.0000  2 Ru 2.31, 4 Zr 2.56
Zr: 0.0000 0.5000 0.0000  2 Hf 2.56
Zr: 0.5000 0.0000 0.0000  2 Hf 2.56
Nb: 0.5000 0.5000 0.5000  8 Zr 3.44, 4 Ru 3.62
Ru: 0.0000 0.0000 0.5000  2 Hf 2.31

* total DFT energy (no corrections): -39.87 eV for the cell shown

***

(2)
Here is a relaxed structure of HfNb2S6 from Alexandria via LeMat-Bulk. Energies are from PBE-GGA.

a = 6.1052 Å, b = 6.1052 Å, c = 10.3481 Å
α = 90.00°, β = 90.00°, γ = 90.00°
With the nearest neighbours (Å) after each atom.
Sites, in units of the cell vectors:
Hf: 0.0000 0.0000 0.0000  6 S 2.50-2.55
Hf: 0.5000 0.5000 0.5000  6 S 2.50-2.55
Nb: 0.0000 0.0000 0.3421  6 S 2.41-2.56
Nb: 0.0000 0.0000 0.6579  6 S 2.41-2.56
Nb: 0.5000 0.5000 0.1579  6 S 2.41-2.56
Nb: 0.5000 0.5000 0.8421  6 S 2.41-2.56
S: 0.2034 0.2034 0.1713  2 Nb 2.49-2.56, 1 Hf 2.50
S: 0.2034 0.2034 0.8287  2 Nb 2.49-2.56, 1 Hf 2.50
S: 0.2046 0.2046 0.5000  2 Nb 2.41, 1 Hf 2.55
S: 0.2954 0.7046 0.0000  2 Nb 2.41, 1 Hf 2.55
S: 0.2966 0.7034 0.3287  2 Nb 2.49-2.56, 1 Hf 2.50
S: 0.2966 0.7034 0.6713  2 Nb 2.49-2.56, 1 Hf 2.50
S: 0.7034 0.2966 0.3287  2 Nb 2.49-2.56, 1 Hf 2.50
S: 0.7034 0.2966 0.6713  2 Nb 2.49-2.56, 1 Hf 2.50
S: 0.7046 0.2954 0.0000  2 Nb 2.41, 1 Hf 2.55
S: 0.7954 0.7954 0.5000  2 Nb 2.41, 1 Hf 2.55
S: 0.7966 0.7966 0.1713  2 Nb 2.49-2.56, 1 Hf 2.50
S: 0.7966 0.7966 0.8287  2 Nb 2.49-2.56, 1 Hf 2.50

* ΔE_f (raw): -1025.1 meV per atom

***

Here are the calculated calculated density numbers, same order: 7.637, 4.793 (g/cm³).